(1)
NdSiBIr2 after structural relaxation, computed with PBE-GGA. Values from VASP.

Calculated values
Density (Mg/m³): 11.48
Formation energy from raw total energies (kJ/mol of atoms): -80.3
Crystal system: orthorhombic

```
&SYSTEM
  ibrav = 0, nat = 10, ntyp = 4
/
ATOMIC_SPECIES
Ir 192.22 Ir.upf
B 10.81 B.upf
Si 28.09 Si.upf
Nd 144.24 Nd.upf
ATOMIC_POSITIONS crystal
Ir 0.8314 0.6627 0.0564
Ir 0.1686 0.3373 0.9436
Ir 0.8314 0.6627 0.4436
Ir 0.1686 0.3373 0.5564
B 0.0000 0.0000 0.5000
B 0.0000 0.0000 0.0000
Si 0.7280 0.4559 0.7500
Si 0.2720 0.5441 0.2500
Nd 0.4477 0.8954 0.7500
Nd 0.5523 0.1046 0.2500
CELL_PARAMETERS angstrom
-1.2201 3.8193 0.4031
-3.1989 -3.5288 3.6096
4.8590 0.9951 5.2790
```

=====

(2)
NdZn2BIr2 after structural relaxation, computed with PBE-GGA. Values from VASP.

Calculated values
Density (Mg/m³): 11.29
ΔH_f (0 K) (eV/atom): -0.5357
Crystal system: tetragonal

```
&SYSTEM
  ibrav = 0, nat = 6, ntyp = 4
/
ATOMIC_SPECIES
Zn 65.41 Zn.upf
B 10.81 B.upf
Ir 192.22 Ir.upf
Nd 144.24 Nd.upf
ATOMIC_POSITIONS crystal
Zn 0.5000 0.5000 0.7164
Zn 0.5000 0.5000 0.2836
B 0.0000 0.0000 0.0000
Ir 0.5000 0.0000 0.0000
Ir 0.0000 0.5000 0.0000
Nd 0.0000 0.0000 0.5000
CELL_PARAMETERS angstrom
4.1581 0.0000 0.0000
0.0000 4.1581 0.0000
0.0000 0.0000 5.6998
```

=====

(3)
NiBIr3 after structural relaxation, computed with PBE-GGA. Values from VASP.

Calculated values
Density (Mg/m³): 12.33
ΔH_f (0 K) (eV/atom): 2.3518
Crystal system: cubic

```
&SYSTEM
  ibrav = 0, nat = 5, ntyp = 3
/
ATOMIC_SPECIES
B 10.81 B.upf
Ir 192.22 Ir.upf
Ni 58.69 Ni.upf
ATOMIC_POSITIONS crystal
B 0.5000 0.5000 0.5000
Ir 0.0000 0.5000 0.0000
Ir 0.0000 0.0000 0.5000
Ir 0.5000 0.0000 0.0000
Ni 0.0000 0.0000 0.0000
CELL_PARAMETERS angstrom
4.4318 0.0000 0.0000
0.0000 4.4318 0.0000
0.0000 0.0000 4.4318
```

=====

(4)
NiB2Ir2 after structural relaxation, computed with PBE-GGA. Values from VASP.

Calculated values
Density (Mg/m³): 13.75
ΔH_f (0 K) (eV/atom): -0.0370
Crystal system: trigonal

```
&SYSTEM
  ibrav = 0, nat = 5, ntyp = 3
/
ATOMIC_SPECIES
Ni 58.69 Ni.upf
B 10.81 B.upf
Ir 192.22 Ir.upf
ATOMIC_POSITIONS crystal
Ni 0.0000 0.5000 0.0000
B 0.5983 0.0983 0.2051
B 0.4017 0.9017 0.7949
Ir 0.2308 0.7308 0.3077
Ir 0.7692 0.2692 0.6923
CELL_PARAMETERS angstrom
3.1817 0.0008 1.3832
1.2894 2.9088 1.3832
-0.5878 -0.3825 5.7030
```